No. 1
Density functional theory data (GGA-PBE) for a relaxed Pm5Sm3 crystal.

Properties
For the electronic total energy, the calculation gives -37.79 eV/cell. The value obtained for the size of the total moment is 0.00 μB/f.u. For the density of states at the Fermi level, the calculation gives 12.91 states/eV per cell. As for the energy of formation: 0.124 eV per formula unit.

Cell and atoms, written as CIF:
```
data_Pm5Sm3
_space_group_name_H-M_alt 'P m m m'
_space_group_IT_number 47
_cell_length_a 5.1459
_cell_length_b 5.1464
_cell_length_c 10.2909
_cell_angle_alpha 90.00
_cell_angle_beta 90.00
_cell_angle_gamma 90.00
loop_
_space_group_symop_operation_xyz
'x,y,z'
'-x,-y,-z'
'-x,-y,z'
'x,y,-z'
'x,-y,-z'
'-x,y,z'
'-x,y,-z'
'x,-y,z'
loop_
_atom_site_label
_atom_site_fract_x
_atom_site_fract_y
_atom_site_fract_z
Pm1 0.0000 0.0000 0.0000
Pm2 0.0000 0.0000 0.5000
Pm3 0.5000 0.0000 0.2504
Pm4 0.5000 0.5000 0.0000
Sm1 0.0000 0.5000 0.2503
Sm2 0.5000 0.5000 0.5000
```

No. 2
Density functional theory data (GGA-PBE) for a relaxed PmSm3 crystal.

Properties
For the electronic total energy, the calculation gives -37.70 eV/cell. The value obtained for the size of the total moment is 0.00 μB/f.u. For the density of states at the Fermi level, the calculation gives 12.34 states/eV per cell. As for the energy of formation: 0.058 eV per formula unit.

Cell and atoms, written as CIF:
```
data_PmSm3
_space_group_name_H-M_alt 'P 1 21/m 1'
_space_group_IT_number 11
_cell_length_a 7.2818
_cell_length_b 3.6209
_cell_length_c 10.2932
_cell_angle_alpha 90.00
_cell_angle_beta 90.00
_cell_angle_gamma 90.00
loop_
_space_group_symop_operation_xyz
'x,y,z'
'-x,-y,-z'
'-x,y+1/2,-z'
'x,-y+1/2,z'
loop_
_atom_site_label
_atom_site_fract_x
_atom_site_fract_y
_atom_site_fract_z
Pm1 0.1251 0.2500 0.1255
Sm1 0.1255 0.2500 0.6245
Sm2 0.3754 0.7500 0.3752
Sm3 0.3753 0.7500 0.8748
```

No. 3
Density functional theory data (GGA-PBE) for a relaxed Pm3Sm8 crystal.

Properties
For the electronic total energy, the calculation gives -140.22 eV/cell. The value obtained for the size of the total moment is 0.00 μB/f.u. For the density of states at the Fermi level, the calculation gives 44.15 states/eV per cell. As for the energy of formation: 5.266 eV per formula unit.

Cell and atoms, written as CIF:
```
data_Pm3Sm8
_space_group_name_H-M_alt 'R -3'
_space_group_IT_number 148
_space_group_name_Hall '-R 3'
_cell_length_a 9.8472
_cell_length_b 9.8472
_cell_length_c 13.4716
_cell_angle_alpha 90.00
_cell_angle_beta 90.00
_cell_angle_gamma 120.00
loop_
_atom_site_label
_atom_site_fract_x
_atom_site_fract_y
_atom_site_fract_z
Pm1 0.0000 0.5000 0.0000
Sm1 0.0000 0.0000 0.3779
Sm2 0.0331 0.8078 0.1132
```